Version i
DFT (PBE) results for a relaxed structure of LiDy4Te5.

a b c (Å): 4.341 4.341 15.721
angles (deg): 97.94 97.94 90.00
Element x y z (fractional)
1 Li 0.000 0.000 0.000
2 Dy 0.403 0.403 0.807
3 Dy 0.796 0.796 0.592
4 Dy 0.204 0.204 0.408
5 Dy 0.597 0.597 0.193
6 Te 0.101 0.101 0.202
7 Te 0.500 0.500 0.000
8 Te 0.899 0.899 0.798
9 Te 0.303 0.303 0.606
10 Te 0.697 0.697 0.394

Space group: I4/mmm, No. 139
Crystal system: tetragonal


Version ii
DFT (PBE) results for a relaxed structure of LiDy4Te5.

a b c (Å): 6.127 7.501 7.501
angles (deg): 80.40 65.89 65.89
Element x y z (fractional)
1 Li 0.005 0.000 0.000
2 Dy 0.403 0.400 0.794
3 Dy 0.803 0.794 0.600
4 Dy 0.198 0.206 0.400
5 Dy 0.598 0.600 0.206
6 Te 0.904 0.387 0.807
7 Te 0.290 0.807 0.613
8 Te 0.711 0.193 0.387
9 Te 0.097 0.613 0.193
10 Te 0.502 0.000 0.000

Space group: I4, No. 79
Crystal system: tetragonal


Among the structures above, stability is smallest for version i.